A plane-wave DFT calculation with PBE-GGA was carried out for Ba4CrCd after structural relaxation.

Results
- Calculated volume: 46.57 Å³ per atom
- SG: F-43m
- Total magnetic moment: 3.6 μB/cell
- Energy relative to the elements: 68.7 kJ/mol of atoms

a b c (Å): 7.338 7.338 7.338
angles (deg): 60.00 60.00 60.00
Element x y z (fractional)
1 Ba 0.875 0.375 0.375
2 Ba 0.375 0.375 0.875
3 Ba 0.375 0.875 0.375
4 Ba 0.375 0.375 0.375
5 Cr 0.000 0.000 0.000
6 Cd 0.750 0.750 0.750